Entry 1:
Density functional theory data (PBE-GGA) for crystalline KLi3Zn at its relaxed geometry.

The value obtained for the calculated density is 1.446 g/cm³. The total energy comes out at -1.522 eV per atom. As for the offset from the most stable computed form: 0.0 meV/atom.

Unit cell a=5.241 b=5.241 c=5.241 alpha=90.00 beta=90.00 gamma=90.00
Sites, in units of the cell vectors:
Li: 0.500 0.000 0.000
Li: 0.000 0.000 0.500
Li: 0.000 0.500 0.000
K: 0.500 0.500 0.500
Zn: 0.000 0.000 0.000

Entry 2:
Density functional theory data (PBE-GGA) for crystalline KLiZn2 at its relaxed geometry.

The value obtained for the calculated density is 2.942 g/cm³. The total energy comes out at -1.310 eV per atom. As for the offset from the most stable computed form: 115.2 meV/atom.

Unit cell a=4.485 b=3.180 c=7.003 alpha=88.81 beta=90.00 gamma=90.00
Sites, in units of the cell vectors:
Zn: 0.500 0.124 0.176
Zn: 0.000 0.128 0.972
K: 0.000 0.610 0.482
Li: 0.500 0.638 0.869

Entry 3:
Density functional theory data (PBE-GGA) for crystalline KLiZn2 at its relaxed geometry.

The value obtained for the calculated density is 2.874 g/cm³. The total energy comes out at -1.160 eV per atom. As for the offset from the most stable computed form: 265.6 meV/atom.

Unit cell a=5.626 b=5.626 c=3.290 alpha=89.99 beta=89.99 gamma=101.01
Sites, in units of the cell vectors:
Zn: 0.500 0.500 0.000
Zn: 0.000 0.000 0.000
Li: 0.000 0.500 0.500
K: 0.500 0.000 0.500

Entry 4:
Density functional theory data (PBE-GGA) for crystalline KLiZn2 at its relaxed geometry.

The value obtained for the calculated density is 2.466 g/cm³. The total energy comes out at -1.251 eV per atom. As for the offset from the most stable computed form: 174.8 meV/atom.

Unit cell a=4.942 b=4.942 c=10.359 alpha=76.20 beta=76.20 gamma=90.00
Sites, in units of the cell vectors:
Li: 0.250 0.750 0.500
Zn: 0.375 0.625 0.750
Li: 0.500 0.500 0.000
Zn: 0.875 0.625 0.750
Zn: 0.375 0.625 0.250
K: 0.000 0.000 0.000
K: 0.750 0.250 0.500
Zn: 0.375 0.125 0.250

Entry 5:
Density functional theory data (PBE-GGA) for crystalline KLiZn3 at its relaxed geometry.

The value obtained for the calculated density is 3.225 g/cm³. The total energy comes out at -1.153 eV per atom. As for the offset from the most stable computed form: 0.0 meV/atom.

Unit cell a=4.997 b=4.997 c=4.997 alpha=90.00 beta=90.00 gamma=90.00
Sites, in units of the cell vectors:
K: 0.500 0.500 0.500
Zn: 0.000 0.000 0.500
Zn: 0.000 0.500 0.000
Zn: 0.500 0.000 0.000
Li: 0.000 0.000 0.000

Entry 6:
Density functional theory data (PBE-GGA) for crystalline K2LiZn2 at its relaxed geometry.

The value obtained for the calculated density is 2.065 g/cm³. The total energy comes out at -1.088 eV per atom. As for the offset from the most stable computed form: 105.9 meV/atom.

Unit cell a=10.003 b=10.003 c=3.472 alpha=90.00 beta=90.00 gamma=90.00
Sites, in units of the cell vectors:
K: 0.306 0.806 0.000
Li: 0.500 0.500 0.000
Li: 0.000 0.000 0.000
K: 0.694 0.194 0.000
Zn: 0.907 0.407 0.500
K: 0.194 0.306 0.000
Zn: 0.407 0.093 0.500
Zn: 0.593 0.907 0.500
K: 0.806 0.694 0.000
Zn: 0.093 0.593 0.500

Entry 7:
Density functional theory data (PBE-GGA) for crystalline K2LiZn2 at its relaxed geometry.

The value obtained for the calculated density is 2.176 g/cm³. The total energy comes out at -1.194 eV per atom. As for the offset from the most stable computed form: 0.0 meV/atom.

Unit cell a=7.767 b=7.767 c=5.462 alpha=90.00 beta=90.00 gamma=90.00
Sites, in units of the cell vectors:
Zn: 0.880 0.620 0.000
Zn: 0.620 0.120 0.000
Zn: 0.120 0.380 0.000
Li: 0.000 0.000 0.000
K: 0.681 0.819 0.500
Zn: 0.380 0.880 0.000
K: 0.319 0.181 0.500
K: 0.181 0.681 0.500
Li: 0.500 0.500 0.000
K: 0.819 0.319 0.500

Entry 8:
Density functional theory data (PBE-GGA) for crystalline KLi4Zn at its relaxed geometry.

The value obtained for the calculated density is 1.484 g/cm³. The total energy comes out at -1.531 eV per atom.

Unit cell a=5.938 b=5.938 c=5.938 alpha=60.00 beta=60.00 gamma=60.00
Sites, in units of the cell vectors:
K: 0.000 0.000 0.000
Li: 0.868 0.377 0.377
Li: 0.377 0.377 0.868
Li: 0.377 0.868 0.377
Zn: 0.750 0.750 0.750
Li: 0.377 0.377 0.377

Entry 9:
Density functional theory data (PBE-GGA) for crystalline KLiZn at its relaxed geometry.

The value obtained for the calculated density is 1.549 g/cm³. The total energy comes out at -0.968 eV per atom. As for the offset from the most stable computed form: 361.4 meV/atom.

Unit cell a=5.528 b=5.528 c=5.528 alpha=60.00 beta=60.00 gamma=60.00
Sites, in units of the cell vectors:
K: 0.750 0.750 0.750
Li: 0.000 0.000 0.000
Zn: 0.500 0.500 0.500

Entry 10:
Density functional theory data (PBE-GGA) for crystalline K2LiZn2 at its relaxed geometry.

The value obtained for the calculated density is 2.079 g/cm³. The total energy comes out at -1.164 eV per atom. As for the offset from the most stable computed form: 29.9 meV/atom.

Unit cell a=3.825 b=3.825 c=12.093 alpha=80.90 beta=80.90 gamma=90.00
Sites, in units of the cell vectors:
Zn: 0.750 0.250 0.500
K: 0.377 0.377 0.245
Zn: 0.250 0.750 0.500
Li: 0.000 0.000 0.000
K: 0.623 0.623 0.755

Entry 11:
Density functional theory data (PBE-GGA) for crystalline KLiZn3 at its relaxed geometry.

The value obtained for the calculated density is 1.788 g/cm³. The total energy comes out at -0.602 eV per atom. As for the offset from the most stable computed form: 550.7 meV/atom.

Unit cell a=6.082 b=6.082 c=6.082 alpha=90.00 beta=90.00 gamma=90.00
Sites, in units of the cell vectors:
Zn: 0.000 0.500 0.000
Li: 0.500 0.500 0.500
Zn: 0.500 0.000 0.000
Zn: 0.000 0.000 0.500
K: 0.000 0.000 0.000

Entry 12:
Density functional theory data (PBE-GGA) for crystalline KLiZn at its relaxed geometry.

The value obtained for the calculated density is 1.701 g/cm³. The total energy comes out at -1.162 eV per atom. As for the offset from the most stable computed form: 167.3 meV/atom.

Unit cell a=5.359 b=5.359 c=5.359 alpha=60.00 beta=60.00 gamma=60.00
Sites, in units of the cell vectors:
Zn: 0.750 0.750 0.750
K: 0.000 0.000 0.000
Li: 0.500 0.500 0.500